1.
DFT (GGA-PBE) results for NdErH after structural relaxation.

The structure in CIF format:
```
data_NdErH
_chemical_formula_sum 'Nd1 Er1 H1'
_cell_length_a 3.654
_cell_length_b 3.654
_cell_length_c 5.734
_cell_angle_alpha 90.00
_cell_angle_beta 90.00
_cell_angle_gamma 120.00
_space_group_name_H-M_alt 'P 1'
_space_group_IT_number 1
loop_
_space_group_symop_operation_xyz
'x,y,z'
loop_
_atom_site_label
_atom_site_fract_x
_atom_site_fract_y
_atom_site_fract_z
Nd1 0.000 0.000 0.000
Er1 0.333 0.667 0.485
H1 0.667 0.333 0.262
```

Energy relative to the lowest polymorph listed for this composition = 0 meV/atom
Space group = P3m1, No. 156
Magnetization = 0.0 Bohr magnetons per cell
N(E_F) = 2.8 states/eV/f.u.
VASP energy = -4.441 eV/atom

2.
DFT (GGA-PBE) results for MoWSe2 after structural relaxation.

The structure in CIF format:
```
data_MoWSe2
_chemical_formula_sum 'Mo1 W1 Se2'
_cell_length_a 3.339
_cell_length_b 4.266
_cell_length_c 6.371
_cell_angle_alpha 90.00
_cell_angle_beta 90.00
_cell_angle_gamma 90.00
_space_group_name_H-M_alt 'P 1'
_space_group_IT_number 1
loop_
_space_group_symop_operation_xyz
'x,y,z'
loop_
_atom_site_label
_atom_site_fract_x
_atom_site_fract_y
_atom_site_fract_z
Mo1 0.000 0.000 0.000
W1 0.500 0.500 0.042
Se1 0.000 0.500 0.746
Se2 0.500 0.000 0.295
```

Energy relative to the lowest polymorph listed for this composition = 0 meV/atom
Space group = Pmm2, No. 25
Magnetization = 0.0 Bohr magnetons per cell
N(E_F) = 1.0 states/eV/f.u.
VASP energy = -7.843 eV/atom

3.
DFT (GGA-PBE) results for BaBeAg after structural relaxation.

The structure in CIF format:
```
data_BaBeAg
_chemical_formula_sum 'Ba1 Be1 Ag1'
_cell_length_a 5.366
_cell_length_b 5.366
_cell_length_c 5.366
_cell_angle_alpha 60.00
_cell_angle_beta 60.00
_cell_angle_gamma 60.00
_space_group_name_H-M_alt 'P 1'
_space_group_IT_number 1
loop_
_space_group_symop_operation_xyz
'x,y,z'
loop_
_atom_site_label
_atom_site_fract_x
_atom_site_fract_y
_atom_site_fract_z
Ba1 0.000 0.000 0.000
Be1 0.250 0.250 0.250
Ag1 0.750 0.750 0.750
```

Energy relative to the lowest polymorph listed for this composition = 784 meV/atom
Space group = F-43m, No. 216
Magnetization = 0.0 Bohr magnetons per cell
N(E_F) = 2.8 states/eV/f.u.
Energy of formation from the pure elements = 2.57 eV per formula unit
VASP energy = -1.978 eV/atom

4.
DFT (GGA-PBE) results for ScTiOs after structural relaxation.

The structure in CIF format:
```
data_ScTiOs
_chemical_formula_sum 'Sc1 Ti1 Os1'
_cell_length_a 5.645
_cell_length_b 5.645
_cell_length_c 5.645
_cell_angle_alpha 147.28
_cell_angle_beta 147.28
_cell_angle_gamma 46.96
_space_group_name_H-M_alt 'P 1'
_space_group_IT_number 1
loop_
_space_group_symop_operation_xyz
'x,y,z'
loop_
_atom_site_label
_atom_site_fract_x
_atom_site_fract_y
_atom_site_fract_z
Sc1 0.000 0.000 0.000
Ti1 0.296 0.296 0.000
Os1 0.664 0.664 0.000
```

Energy relative to the lowest polymorph listed for this composition = 49 meV/atom
Space group = I4mm, No. 107
Magnetization = 1.1 Bohr magnetons per cell
N(E_F) = 1.9 states/eV/f.u.
Energy of formation from the pure elements = -1.08 eV per formula unit
VASP energy = -8.844 eV/atom

5.
DFT (GGA-PBE) results for PrIn12Pt6 after structural relaxation.

The structure in CIF format:
```
data_PrIn12Pt6
_chemical_formula_sum 'Pr1 In12 Pt6'
_cell_length_a 7.882
_cell_length_b 7.882
_cell_length_c 7.882
_cell_angle_alpha 105.30
_cell_angle_beta 105.30
_cell_angle_gamma 105.30
_space_group_name_H-M_alt 'P 1'
_space_group_IT_number 1
loop_
_space_group_symop_operation_xyz
'x,y,z'
loop_
_atom_site_label
_atom_site_fract_x
_atom_site_fract_y
_atom_site_fract_z
Pr1 0.000 0.000 0.000
In1 0.116 0.500 0.884
In2 0.116 0.884 0.500
In3 0.151 0.404 0.404
In4 0.404 0.151 0.404
In5 0.404 0.404 0.151
In6 0.500 0.116 0.884
In7 0.500 0.884 0.116
In8 0.596 0.596 0.849
In9 0.596 0.849 0.596
In10 0.849 0.596 0.596
In11 0.884 0.116 0.500
In12 0.884 0.500 0.116
Pt1 0.276 0.276 0.708
Pt2 0.276 0.708 0.276
Pt3 0.292 0.724 0.724
Pt4 0.708 0.276 0.276
Pt5 0.724 0.292 0.724
Pt6 0.724 0.724 0.292
```

Space group = R-3m, No. 166
Magnetization = 0.0 Bohr magnetons per cell
N(E_F) = 8.2 states/eV/f.u.
Energy of formation from the pure elements = -7.03 eV per formula unit
VASP energy = -4.259 eV/atom

6.
DFT (GGA-PBE) results for Ba3AlSn4 after structural relaxation.

The structure in CIF format:
```
data_Ba3AlSn4
_chemical_formula_sum 'Ba3 Al1 Sn4'
_cell_length_a 9.883
_cell_length_b 9.883
_cell_length_c 9.883
_cell_angle_alpha 148.08
_cell_angle_beta 141.11
_cell_angle_gamma 51.16
_space_group_name_H-M_alt 'P 1'
_space_group_IT_number 1
loop_
_space_group_symop_operation_xyz
'x,y,z'
loop_
_atom_site_label
_atom_site_fract_x
_atom_site_fract_y
_atom_site_fract_z
Ba1 0.000 0.000 0.000
Ba2 0.304 0.804 0.500
Ba3 0.696 0.196 0.500
Al1 0.500 0.500 0.000
Sn1 0.103 0.384 0.719
Sn2 0.335 0.616 0.719
Sn3 0.665 0.384 0.281
Sn4 0.897 0.616 0.281
```

Space group = Immm, No. 71
Magnetization = 0.0 Bohr magnetons per cell
N(E_F) = 5.7 states/eV/f.u.
Energy of formation from the pure elements = -3.05 eV per formula unit
VASP energy = -3.572 eV/atom

What did the fifth record say?
DFT (GGA-PBE) results for PrIn12Pt6 after structural relaxation.

The structure in CIF format:
```
data_PrIn12Pt6
_chemical_formula_sum 'Pr1 In12 Pt6'
_cell_length_a 7.882
_cell_length_b 7.882
_cell_length_c 7.882
_cell_angle_alpha 105.30
_cell_angle_beta 105.30
_cell_angle_gamma 105.30
_space_group_name_H-M_alt 'P 1'
_space_group_IT_number 1
loop_
_space_group_symop_operation_xyz
'x,y,z'
loop_
_atom_site_label
_atom_site_fract_x
_atom_site_fract_y
_atom_site_fract_z
Pr1 0.000 0.000 0.000
In1 0.116 0.500 0.884
In2 0.116 0.884 0.500
In3 0.151 0.404 0.404
In4 0.404 0.151 0.404
In5 0.404 0.404 0.151
In6 0.500 0.116 0.884
In7 0.500 0.884 0.116
In8 0.596 0.596 0.849
In9 0.596 0.849 0.596
In10 0.849 0.596 0.596
In11 0.884 0.116 0.500
In12 0.884 0.500 0.116
Pt1 0.276 0.276 0.708
Pt2 0.276 0.708 0.276
Pt3 0.292 0.724 0.724
Pt4 0.708 0.276 0.276
Pt5 0.724 0.292 0.724
Pt6 0.724 0.724 0.292
```

Space group = R-3m, No. 166
Magnetization = 0.0 Bohr magnetons per cell
N(E_F) = 8.2 states/eV/f.u.
Energy of formation from the pure elements = -7.03 eV per formula unit
VASP energy = -4.259 eV/atom

Question: VASP energy of number 3 (BaBeAg)?
Answer: -1.978 eV/atom